Model one:
Below is crystalline AlVN2F at its relaxed geometry, with properties calculated at the PBE+U level.

## Properties
The calculated volume comes out at 51 Å³/f.u. The total magnetization comes out at 0.4186 μB/atom.

The structure in POSCAR format:
```
AlVN2F
1.0
-2.9194 1.9264 -1.4996
-1.0281 -3.0904 -1.9685
-2.0604 -1.0282 2.6903
N F Al V
2 1 1 1
direct
0.5000 0.0000 0.0000
0.0000 0.5000 0.0000
0.0000 0.0000 0.5000
0.0000 0.0000 0.0000
0.5000 0.5000 0.5000
```

***

Model two:
Below is crystalline AlVN2F at its relaxed geometry, with properties calculated at the PBE+U level.

## Properties
The calculated volume comes out at 58 Å³/f.u. The total magnetization comes out at 0.1279 μB/atom.

The structure in POSCAR format:
```
AlVN2F
1.0
3.8906 0.0000 0.0000
0.0000 3.8906 0.0000
0.0000 0.0000 3.8334
F N Al V
1 2 1 1
direct
0.0000 0.0000 0.5000
0.0000 0.5000 0.0000
0.5000 0.0000 0.0000
0.5000 0.5000 0.5000
0.0000 0.0000 0.0000
```

***

model one comes first in stability; the runner-up is 353 meV per atom higher.

***

Model one:
Below is crystalline AlVNF2 at its relaxed geometry, with properties calculated at the PBE+U level.

## Properties
The calculated volume comes out at 65 Å³/f.u. The total magnetization comes out at 0.2606 μB/atom.

The structure in POSCAR format:
```
AlVNF2
1.0
4.0920 0.0000 0.0000
0.0000 4.0920 0.0000
0.0000 0.0000 3.8899
F Al N V
2 1 1 1
direct
0.0000 0.5000 0.0000
0.5000 0.0000 0.0000
0.5000 0.5000 0.5000
0.0000 0.0000 0.5000
0.0000 0.0000 0.0000
```

***

Model two:
Below is crystalline AlVNF2 at its relaxed geometry, with properties calculated at the PBE+U level.

## Properties
The calculated volume comes out at 53 Å³/f.u. The total magnetization comes out at 0.5997 μB/atom.

The structure in POSCAR format:
```
AlVNF2
1.0
-2.4831 -2.6853 0.1032
2.1058 -1.8570 2.3462
-1.8223 1.8028 3.0625
N V Al F
1 1 1 2
direct
0.0000 0.0000 0.5000
0.5000 0.5000 0.5000
0.0000 0.0000 0.0000
0.0000 0.5000 0.0000
0.5000 0.0000 0.0000
```

***

model two comes first in stability; the runner-up is 455 meV per atom higher.